Entry from Alexandria: TaNiIr after structural relaxation (PBE-GGA).

```
TaNiIr
1.0
0.0000 2.9631 2.9631
2.9631 0.0000 2.9631
2.9631 2.9631 0.0000
Ta Ni Ir
1 1 1
Cartesian
0.0000 0.0000 0.0000
4.4447 4.4447 4.4447
1.4816 1.4816 1.4816
```

- space group = F-43m, No. 216
- E_form (eV per atom) = -0.0057
- E (eV for the cell shown) = -26.5
- total magnetic moment (μB/f.u.) = 0.00
- DOS at the Fermi energy (states/eV/f.u.) = 1.01